1.
A relaxed structure of CsBaPS2, computed with PBE.

Output
ΔE to the lowest computed polymorph, meV per atom: 425
N(E_F), states/eV per cell: 6.77
Raw total energy, eV for the cell shown: -14.9
Calculated density, g cm⁻³: 3.4
Raw formation energy, eV/atom: 0.32

```
CsBaPS2
1.0
5.7244 0.0000 0.0000
0.0000 5.7244 0.0000
0.0000 0.0000 5.4836
Cs Ba P S
1 1 1 2
Direct
0.0000 0.0000 0.0000
0.5000 0.5000 0.5000
0.0000 0.0000 0.5000
0.0000 0.5000 0.0000
0.5000 0.0000 0.0000
```

2.
A relaxed structure of CsBaPSe4, computed with PBE.

Output
N(E_F), states/eV per cell: 0.00
Raw total energy, eV for the cell shown: -59.1
Calculated density, g cm⁻³: 4.0
Raw formation energy, eV/atom: -1.06

```
CsBaPSe4
1.0
7.0736 0.0000 0.0000
0.0000 7.2328 0.0000
-3.2139 0.0000 9.8920
Cs Ba P Se
2 2 2 8
Direct
0.2212 0.2500 0.4279
0.7788 0.7500 0.5721
0.2755 0.2500 0.9642
0.7245 0.7500 0.0358
0.3212 0.7500 0.1967
0.6788 0.2500 0.8033
0.1104 0.7500 0.3157
0.1685 0.7500 0.9728
0.4829 0.0018 0.7583
0.4829 0.4982 0.7583
0.5171 0.5018 0.2417
0.5171 0.9982 0.2417
0.8315 0.2500 0.0272
0.8896 0.2500 0.6843
```

3.
A relaxed structure of Cs2BaP2Se6, computed with PBE.

Output
Raw total energy, eV for the cell shown: -44.5
Calculated density, g cm⁻³: 3.8
Raw formation energy, eV/atom: -0.83

```
Cs2BaP2Se6
1.0
3.8218 2.2065 8.0853
-3.8218 2.2065 8.0853
0.0000 -4.4130 8.0853
Cs Ba P Se
2 1 2 6
Direct
0.2232 0.2232 0.2232
0.7768 0.7768 0.7768
0.0000 0.0000 0.0000
0.4514 0.4514 0.4514
0.5486 0.5486 0.5486
0.2474 0.7315 0.7315
0.2685 0.2685 0.7526
0.2685 0.7526 0.2685
0.7315 0.2474 0.7315
0.7315 0.7315 0.2474
0.7526 0.2685 0.2685
```

4.
A relaxed structure of CsBaP2Se8, computed with PBE.

Output
N(E_F), states/eV per cell: 4.73
Raw total energy, eV for the cell shown: -47.4
Calculated density, g cm⁻³: 3.6
Raw formation energy, eV/atom: -0.49

```
CsBaP2Se8
1.0
6.3413 -3.4798 0.0000
6.3413 3.4798 0.0000
-2.3714 0.0000 10.1140
Cs Ba P Se
1 1 2 8
Direct
0.0000 0.0000 0.0000
0.5000 0.5000 0.5000
0.2603 0.2603 0.7110
0.7397 0.7397 0.2890
0.0558 0.5832 0.6200
0.0837 0.0837 0.6716
0.3647 0.3647 0.9079
0.4168 0.9442 0.3800
0.5832 0.0558 0.6200
0.6353 0.6353 0.0921
0.9163 0.9163 0.3284
0.9442 0.4168 0.3800
```

> Which of these has the highest raw total energy?

CsBaPS2